A plane-wave DFT calculation with PBE was carried out for crystalline ScAs3 at its relaxed geometry.

The structure in POSCAR format:
```
ScAs3
1.0
-0.458 -3.382 3.067
4.520 0.104 0.789
-0.519 2.472 2.649
As Sc
3 1
direct
0.000 0.000 0.000
0.500 0.000 0.500
0.500 0.500 0.000
0.000 0.500 0.500
```

Output
The calculated total energy is -5.4143 eV per atom. As for the calculated density: 5811 kg/m3. The density of states at the Fermi level comes out at 1.5 states/eV/cell.

A plane-wave DFT calculation with PBE was carried out for crystalline ScAs3 at its relaxed geometry.

The structure in POSCAR format:
```
ScAs3
1.0
-3.613 0.012 2.996
3.741 -0.328 2.816
0.170 3.578 0.190
As Sc
3 1
direct
0.000 0.500 0.500
0.500 0.000 0.500
0.500 0.500 0.000
0.000 0.000 0.000
```

Output
The calculated total energy is -5.4382 eV per atom. As for the calculated density: 5826 kg/m3. The density of states at the Fermi level comes out at 2.7 states/eV/cell.

A plane-wave DFT calculation with PBE was carried out for crystalline Sc4AsSe4 at its relaxed geometry.

The structure in POSCAR format:
```
Sc4AsSe4
1.0
-3.514 -3.276 -2.674
2.711 -5.647 -2.296
-3.139 -4.421 3.891
Sc As Se
4 1 4
direct
0.903 0.387 0.807
0.097 0.613 0.193
0.290 0.807 0.613
0.710 0.193 0.387
0.000 0.000 0.000
0.598 0.601 0.202
0.402 0.399 0.798
0.199 0.202 0.399
0.801 0.798 0.601
```

Output
Its uncorrected formation energy is -152.20 kJ/mol of atoms. As for the calculated density: 4662 kg/m3. The density of states at the Fermi level comes out at 2.6 states/eV/cell.